Record 1
Below is Dy3Y6Pu after structural relaxation, with properties calculated at the PBE-GGA level.

```
20
Lattice="5.509 0.000 0.000 0.000 10.010 0.000 -2.634 0.000 11.878" Properties=species:S:1:pos:R:3 pbc="T T T"
Dy 0.000 0.000 0.000
Dy -1.317 5.005 5.939
Dy -1.214 1.693 7.603
Dy 0.103 3.312 1.664
Dy 2.772 6.698 10.214
Dy 4.089 8.316 4.275
Y 0.095 6.682 1.686
Y -1.222 8.333 7.625
Y 0.131 5.026 8.755
Y 1.448 9.988 2.816
Y 1.435 6.849 5.931
Y 0.118 8.166 11.870
Y 2.758 1.844 0.009
Y 1.441 3.161 5.948
Y 1.427 0.021 9.063
Y 2.744 4.984 3.123
Y 4.097 1.677 4.253
Y 2.780 3.328 10.193
Pu 1.438 0.000 5.939
Pu 2.755 5.005 0.000
```

Output
Its formation energy is 0.24 eV per atom.

Record 2
Below is Mg2SiAu after structural relaxation, with properties calculated at the PBE-GGA level.

```
4
Lattice="1.605 0.927 8.478 -1.605 0.927 8.478 0.000 -1.853 8.478" Properties=species:S:1:pos:R:3 pbc="T T T"
Mg 0.000 0.000 6.363
Mg 0.000 0.000 19.072
Si 0.000 0.000 12.718
Au 0.000 0.000 0.000
```

Output
As for the formation energy from raw total energies: -0.08 eV/atom.

Record 3
Below is VGa2Sn after structural relaxation, with properties calculated at the PBE-GGA level.

```
4
Lattice="0.000 3.392 3.392 3.392 0.000 3.392 3.392 3.392 0.000" Properties=species:S:1:pos:R:3 pbc="T T T"
V 0.000 0.000 0.000
Ga 1.696 1.696 1.696
Ga 5.088 5.088 5.088
Sn 3.392 3.392 3.392
```

Output
The calculation puts the distance to the lowest polymorph of the same formula at 0.000 eV per atom. Its formation energy is 0.33 eV per atom.

Record 4
Below is CeNdTcNi after structural relaxation, with properties calculated at the PBE-GGA level.

```
4
Lattice="0.000 3.475 3.475 3.475 0.000 3.475 3.475 3.475 0.000" Properties=species:S:1:pos:R:3 pbc="T T T"
Ce 0.000 0.000 0.000
Nd 3.475 3.475 3.475
Tc 5.212 5.212 5.212
Ni 1.737 1.737 1.737
```

Output
Its formation energy is -0.03 eV per atom.

Record 5
Below is Ac2SiS after structural relaxation, with properties calculated at the PBE-GGA level.

```
4
Lattice="3.715 0.000 0.000 0.000 3.715 0.000 0.000 0.000 7.857" Properties=species:S:1:pos:R:3 pbc="T T T"
Ac 0.000 0.000 1.956
Ac 0.000 0.000 5.901
Si 1.857 1.857 3.928
S 1.857 1.857 0.000
```

Output
The calculation puts the distance to the lowest polymorph of the same formula at 0.271 eV per atom. As for the formation energy from raw total energies: -1.04 eV/atom.

Record 6
Below is MgZn7 after structural relaxation, with properties calculated at the PBE-GGA level.

```
8
Lattice="0.000 3.989 3.989 3.989 0.000 3.989 3.989 3.989 0.000" Properties=species:S:1:pos:R:3 pbc="T T T"
Mg 0.000 0.000 0.000
Zn 1.995 1.995 0.000
Zn 1.995 0.000 1.995
Zn 3.989 1.995 1.995
Zn 0.000 1.995 1.995
Zn 1.995 3.989 1.995
Zn 1.995 1.995 3.989
Zn 3.989 3.989 3.989
```

Output
Its formation energy is 0.01 eV per atom.

Record 7
Below is Ac5LaPr5 after structural relaxation, with properties calculated at the PBE-GGA level.

```
11
Lattice="6.664 0.000 0.000 -3.332 5.771 0.000 0.000 0.000 12.308" Properties=species:S:1:pos:R:3 pbc="T T T"
Ac 0.000 0.000 2.991
Ac 0.000 0.000 9.317
Ac 1.688 0.975 0.000
Ac 4.976 0.975 0.000
Ac 3.332 3.822 0.000
La 0.000 3.847 6.154
Pr 0.000 0.000 6.154
Pr 0.000 3.847 2.036
Pr 0.000 3.847 10.272
Pr 3.332 1.924 4.207
Pr 3.332 1.924 8.101
```

Output
Its formation energy is 0.41 eV per atom.

Record 8
Below is Te5Rh after structural relaxation, with properties calculated at the PBE-GGA level.

```
6
Lattice="6.398 -1.930 0.000 6.398 1.930 0.000 -4.046 0.000 7.310" Properties=species:S:1:pos:R:3 pbc="T T T"
Te 0.000 0.000 0.000
Te -1.337 0.000 3.291
Te -0.222 0.000 5.986
Te 2.417 0.000 4.200
Te 7.891 0.000 1.614
Rh 6.855 0.000 4.074
```

Output
The calculation puts the distance to the lowest polymorph of the same formula at 0.084 eV per atom. As for the formation energy from raw total energies: -0.04 eV/atom.

Record 9
Below is ScBe3Ga after structural relaxation, with properties calculated at the PBE-GGA level.

```
5
Lattice="4.162 0.000 0.000 0.000 4.162 0.000 0.000 0.000 4.162" Properties=species:S:1:pos:R:3 pbc="T T T"
Sc 0.000 0.000 0.000
Be 0.000 2.081 2.081
Be 2.081 0.000 2.081
Be 2.081 2.081 0.000
Ga 2.081 2.081 2.081
```

Output
The calculation puts the distance to the lowest polymorph of the same formula at 0.000 eV per atom. Its formation energy is 0.47 eV per atom.

Record 10
Below is SmPaCuPt after structural relaxation, with properties calculated at the PBE-GGA level.

```
4
Lattice="0.000 3.518 3.518 3.518 0.000 3.518 3.518 3.518 0.000" Properties=species:S:1:pos:R:3 pbc="T T T"
Sm 0.000 0.000 0.000
Pa 3.518 3.518 3.518
Cu 5.278 5.278 5.278
Pt 1.759 1.759 1.759
```

Output
Its formation energy is -0.40 eV per atom.

Record 11
Below is PuThH after structural relaxation, with properties calculated at the PBE-GGA level.

```
3
Lattice="3.563 0.000 0.000 -1.782 3.086 0.000 0.000 0.000 5.696" Properties=species:S:1:pos:R:3 pbc="T T T"
Pu 0.000 0.000 0.000
Th 1.782 1.029 2.856
H 0.000 2.057 4.311
```

Output
The calculation puts the distance to the lowest polymorph of the same formula at 0.000 eV per atom.

Record 12
Below is Hg2F13 after structural relaxation, with properties calculated at the PBE-GGA level.

```
15
Lattice="4.927 0.000 0.000 2.102 6.362 0.000 1.514 2.825 7.359" Properties=species:S:1:pos:R:3 pbc="T T T"
Hg 1.671 1.497 1.661
Hg 6.872 7.690 5.698
F 0.757 1.413 3.680
F 3.513 6.817 6.493
F 2.977 6.043 1.219
F 2.373 3.269 2.145
F 3.624 4.822 3.859
F 3.193 2.218 4.940
F 4.153 4.236 6.992
F 4.390 4.952 0.367
F 5.351 6.970 2.419
F 4.919 4.366 3.500
F 6.170 5.918 5.214
F 5.566 3.145 6.140
F 5.030 2.371 0.866
```

Output
The calculation puts the distance to the lowest polymorph of the same formula at 0.000 eV per atom. As for the formation energy from raw total energies: -0.43 eV/atom.